No. 1
BaTcNiSn2: optimized geometry, PBE.

```
BaTcNiSn2
1.0
-4.6870 2.0756 -0.5004
-0.6346 -2.4637 -4.2751
-2.0315 -3.9639 2.5859
Tc Ni Ba Sn
1 1 1 2
Direct
0.0000 0.0000 0.0000
0.0000 0.5000 0.0000
0.5000 0.5000 0.5000
0.0000 0.0000 0.5000
0.5000 0.0000 0.0000
```

Calculated density   6.69 Mg/m³
Crystal system   tetragonal
Formation energy from the elements   0.088 eV per atom
Volume   132.0 Å³/cell

No. 2
Ba2NiSnTe: optimized geometry, PBE.

```
Ba2NiSnTe
1.0
-2.9020 -4.9442 2.1383
4.8653 -1.3632 3.4510
-1.7989 2.5962 3.5617
Ni Te Ba Sn
1 1 2 1
Direct
0.0000 0.0000 0.0000
0.5000 0.5000 0.5000
0.0000 0.5000 0.0000
0.5000 0.0000 0.0000
0.0000 0.0000 0.5000
```

Calculated density   5.40 Mg/m³
Formation energy without anion corrections   -716 meV per atom
Crystal system   tetragonal
Volume   178.2 Å³/cell

No. 3
Ba2ZnNiSn: optimized geometry, PBE.

```
Ba2ZnNiSn
1.0
6.0393 0.0000 0.0000
0.0000 6.0393 0.0000
0.0000 0.0000 4.8360
Ni Zn Ba Sn
1 1 2 1
Direct
0.0000 0.0000 0.0000
0.5000 0.5000 0.5000
0.0000 0.5000 0.0000
0.5000 0.0000 0.0000
0.0000 0.0000 0.5000
```

Calculated density   4.87 Mg/m³
Crystal system   tetragonal
Formation energy from the elements   -0.200 eV per atom
Volume   176.4 Å³/cell

No. 4
BaZnNiSn2: optimized geometry, PBE.

```
BaZnNiSn2
1.0
-1.8113 1.1149 -4.6416
2.1906 -4.2168 -1.8676
-4.0748 -2.5498 0.9777
Ni Zn Ba Sn
1 1 1 2
Direct
0.0000 0.0000 0.0000
0.0000 0.0000 0.5000
0.5000 0.5000 0.5000
0.0000 0.5000 0.0000
0.5000 0.0000 0.0000
```

Calculated density   6.48 Mg/m³
Crystal system   tetragonal
Formation energy from the elements   -0.242 eV per atom
Volume   127.9 Å³/cell

No. 5
BaZn2NiSn: optimized geometry, PBE.

```
BaZn2NiSn
1.0
-0.1536 -4.6421 1.4891
2.5160 -1.3516 -3.9539
4.2349 0.6527 2.4717
Ni Zn Ba Sn
1 2 1 1
Direct
0.0000 0.0000 0.0000
0.0000 0.5000 0.0000
0.5000 0.0000 0.0000
0.5000 0.5000 0.5000
0.0000 0.0000 0.5000
```

Calculated density   6.29 Mg/m³
Crystal system   tetragonal
Formation energy from the elements   -0.243 eV per atom
Volume   117.7 Å³/cell

No. 6
Ba2ZrNiSn: optimized geometry, PBE.

```
Ba2ZrNiSn
1.0
5.8904 0.0000 0.0000
0.0000 5.8904 0.0000
0.0000 0.0000 4.9355
Ni Ba Zr Sn
1 2 1 1
Direct
0.0000 0.0000 0.0000
0.0000 0.5000 0.0000
0.5000 0.0000 0.0000
0.5000 0.5000 0.5000
0.0000 0.0000 0.5000
```

Calculated density   5.27 Mg/m³
Crystal system   tetragonal
Formation energy from the elements   0.347 eV per atom
Volume   171.2 Å³/cell

No. 7
BaSr3Ni: optimized geometry, PBE.

```
BaSr3Ni
1.0
-3.1270 3.0390 -5.6068
4.3069 -4.0706 -4.6074
-5.9258 -6.2063 -0.0591
Ba Sr Ni
2 6 2
Direct
0.4147 0.3465 0.7011
0.9149 0.0062 0.2008
0.4347 0.3593 0.2011
0.4256 0.8328 0.9511
0.9256 0.5198 0.4511
0.9345 0.9933 0.7008
0.9258 0.5198 0.9504
0.4258 0.8328 0.4504
0.1773 0.6762 0.7005
0.6773 0.6770 0.2005
```

Calculated density   3.33 Mg/m³
Crystal system   orthorhombic
Formation energy from the elements   -0.024 eV per atom
Volume   457.5 Å³/cell

No. 8
Ba2SrNi: optimized geometry, PBE.

```
Ba2SrNi
1.0
4.3880 0.0000 0.0000
0.0000 7.4269 0.2621
0.0000 4.4485 5.9549
Ba Ni Sr
2 1 1
Direct
0.0000 0.0024 0.0025
0.5000 0.3465 0.3465
0.0000 0.5013 0.5012
0.5000 0.6498 0.6499
```

Calculated density   3.70 Mg/m³
Crystal system   orthorhombic
Formation energy from the elements   0.055 eV per atom
Volume   189.0 Å³/cell

Question: volume of number 5 (BaZn2NiSn)?
Answer: 117.7 Å³/cell